Material: Zn2CdSe
Method: DFT, PBE
State: optimized geometry

Cell lengths 7.859, 3.797, 6.565 Å; angles 90.00, 117.68, 90.00 degrees
Atoms (fractional coordinates):
Zn1 0.000 0.000 0.000
Zn2 0.241 0.000 0.839
Zn3 0.500 0.500 0.000
Zn4 0.741 0.500 0.839
Cd1 0.432 0.000 0.577
Cd2 0.932 0.500 0.577
Se1 0.115 0.500 0.301
Se2 0.615 0.000 0.301

## Properties
Energy relative to the elements, uncorrected: -6 kJ per mole of atoms
Symmetry: No. 8
E above lowest polymorph: 0.031 eV per atom
Spin magnetization: 0.0 Bohr magnetons per cell
Calculated volume: 173.5 Å³/cell